Model one:
The following is a GGA-PBE calculation of a geometry-optimized NbHPd2 structure, from Alexandria. Values from VASP.

Values from the calculation:
For the density of states at the Fermi level, the calculation gives 2.7 states/eV/cell.

The structure in Quantum ESPRESSO input format:
```
&SYSTEM
  ibrav = 0, nat = 4, ntyp = 3
/
ATOMIC_SPECIES
Nb 92.91 Nb.upf
Pd 106.42 Pd.upf
H 1.01 H.upf
ATOMIC_POSITIONS crystal
Nb 0.000 0.000 0.000
Pd 0.887 0.887 0.338
H 0.500 0.500 0.500
Pd 0.113 0.113 0.662
CELL_PARAMETERS angstrom
-0.026 -2.121 1.909
2.200 -0.339 1.786
-2.665 3.762 6.278
```

=====

Model two:
The following is a GGA-PBE calculation of a geometry-optimized NbHPd2 structure, from Alexandria. Values from VASP.

Values from the calculation:
For the density of states at the Fermi level, the calculation gives 1.6 states/eV/cell.

The structure in Quantum ESPRESSO input format:
```
&SYSTEM
  ibrav = 0, nat = 4, ntyp = 3
/
ATOMIC_SPECIES
Pd 106.42 Pd.upf
H 1.01 H.upf
Nb 92.91 Nb.upf
ATOMIC_POSITIONS crystal
Pd 0.000 0.000 0.800
Pd 0.000 0.000 0.200
H 0.500 0.500 0.000
Nb 0.500 0.500 0.500
CELL_PARAMETERS angstrom
-0.535 -2.203 1.630
2.106 -1.393 -1.192
4.226 2.412 4.648
```

=====

How far above the most stable structure does each one sit? In kJ/mol of atoms: model one 10.0; model two 0.0.

=====

Model one:
The following is a GGA-PBE calculation of a geometry-optimized Nb3HPd structure, from Alexandria. Values from VASP.

Values from the calculation:
For the density of states at the Fermi level, the calculation gives 7.2 states/eV/cell.

The structure in Quantum ESPRESSO input format:
```
&SYSTEM
  ibrav = 0, nat = 5, ntyp = 3
/
ATOMIC_SPECIES
Nb 92.91 Nb.upf
H 1.01 H.upf
Pd 106.42 Pd.upf
ATOMIC_POSITIONS crystal
Nb 0.500 0.000 0.000
Nb 0.000 0.500 0.000
H 0.000 0.000 0.000
Nb 0.000 0.000 0.500
Pd 0.500 0.500 0.500
CELL_PARAMETERS angstrom
-2.045 -3.581 -0.581
1.673 -0.339 -3.799
3.219 -2.099 1.605
```

=====

Model two:
The following is a GGA-PBE calculation of a geometry-optimized Nb3HPd structure, from Alexandria. Values from VASP.

Values from the calculation:
For the density of states at the Fermi level, the calculation gives 10.1 states/eV/cell.

The structure in Quantum ESPRESSO input format:
```
&SYSTEM
  ibrav = 0, nat = 5, ntyp = 3
/
ATOMIC_SPECIES
Nb 92.91 Nb.upf
Pd 106.42 Pd.upf
H 1.01 H.upf
ATOMIC_POSITIONS crystal
Nb 0.500 0.000 0.000
Nb 0.000 0.500 0.000
Pd 0.000 0.000 0.000
Nb 0.000 0.000 0.500
H 0.500 0.500 0.500
CELL_PARAMETERS angstrom
-3.893 2.501 -1.561
-2.363 -1.100 4.130
1.763 4.048 2.087
```

=====

Model three:
The following is a GGA-PBE calculation of a geometry-optimized Nb3HPd structure, from Alexandria. Values from VASP.

Values from the calculation:
For the density of states at the Fermi level, the calculation gives 14.7 states/eV/cell.

The structure in Quantum ESPRESSO input format:
```
&SYSTEM
  ibrav = 0, nat = 20, ntyp = 3
/
ATOMIC_SPECIES
H 1.01 H.upf
Nb 92.91 Nb.upf
Pd 106.42 Pd.upf
ATOMIC_POSITIONS crystal
H 0.861 0.500 0.319
Nb 0.278 0.239 0.111
Nb 0.747 0.500 0.623
Nb 0.253 0.500 0.377
Nb 0.278 0.761 0.611
Nb 0.747 0.500 0.123
Nb 0.722 0.239 0.389
H 0.861 0.500 0.819
Nb 0.278 0.760 0.111
H 0.139 0.500 0.181
Nb 0.722 0.761 0.889
Pd 0.787 0.000 0.644
H 0.139 0.500 0.681
Nb 0.722 0.240 0.889
Nb 0.253 0.500 0.877
Pd 0.787 0.000 0.144
Nb 0.278 0.240 0.611
Pd 0.213 0.000 0.856
Nb 0.722 0.760 0.389
Pd 0.213 0.000 0.356
CELL_PARAMETERS angstrom
4.843 0.000 0.039
0.000 6.271 0.000
-0.801 0.000 9.668
```

=====

How far above the most stable structure does each one sit? In kJ/mol of atoms: model one 1.1; model two 202.4; model three 0.0.

=====

Model one:
The following is a GGA-PBE calculation of a geometry-optimized NbHPd2Ru structure, from Alexandria. Values from VASP.

Values from the calculation:
For the density of states at the Fermi level, the calculation gives 1.5 states/eV/cell.

The structure in Quantum ESPRESSO input format:
```
&SYSTEM
  ibrav = 0, nat = 5, ntyp = 4
/
ATOMIC_SPECIES
Nb 92.91 Nb.upf
Pd 106.42 Pd.upf
Ru 101.07 Ru.upf
H 1.01 H.upf
ATOMIC_POSITIONS crystal
Nb 0.500 0.500 0.500
Pd 0.000 0.500 0.000
Ru 0.000 0.000 0.500
Pd 0.500 0.000 0.000
H 0.000 0.000 0.000
CELL_PARAMETERS angstrom
-1.768 2.779 -2.098
-3.479 -1.518 0.921
-0.172 2.451 3.391
```

=====

Model two:
The following is a GGA-PBE calculation of a geometry-optimized NbHPd2Ru structure, from Alexandria. Values from VASP.

Values from the calculation:
For the density of states at the Fermi level, the calculation gives 3.1 states/eV/cell.

The structure in Quantum ESPRESSO input format:
```
&SYSTEM
  ibrav = 0, nat = 5, ntyp = 4
/
ATOMIC_SPECIES
Ru 101.07 Ru.upf
H 1.01 H.upf
Nb 92.91 Nb.upf
Pd 106.42 Pd.upf
ATOMIC_POSITIONS crystal
Ru 0.500 0.500 0.500
H 0.000 0.000 0.000
Nb 0.000 0.000 0.500
Pd 0.000 0.500 0.000
Pd 0.500 0.000 0.000
CELL_PARAMETERS angstrom
-0.303 -0.028 -3.845
3.842 -0.146 -0.302
-0.160 -4.317 0.044
```

=====

How far above the most stable structure does each one sit? In kJ/mol of atoms: model one 0.0; model two 6.1.

=====

Model one:
The following is a GGA-PBE calculation of a geometry-optimized Nb2TcHPd structure, from Alexandria. Values from VASP.

Values from the calculation:
For the density of states at the Fermi level, the calculation gives 3.7 states/eV/cell.

The structure in Quantum ESPRESSO input format:
```
&SYSTEM
  ibrav = 0, nat = 5, ntyp = 4
/
ATOMIC_SPECIES
Nb 92.91 Nb.upf
H 1.01 H.upf
Tc 98.00 Tc.upf
Pd 106.42 Pd.upf
ATOMIC_POSITIONS crystal
Nb 0.500 0.000 0.000
Nb 0.000 0.500 0.000
H 0.000 0.000 0.000
Tc 0.500 0.500 0.500
Pd 0.000 0.000 0.500
CELL_PARAMETERS angstrom
4.192 0.000 0.000
0.000 4.192 0.000
0.000 0.000 3.862
```

=====

Model two:
The following is a GGA-PBE calculation of a geometry-optimized Nb2TcHPd structure, from Alexandria. Values from VASP.

Values from the calculation:
For the density of states at the Fermi level, the calculation gives 4.7 states/eV/cell.

The structure in Quantum ESPRESSO input format:
```
&SYSTEM
  ibrav = 0, nat = 5, ntyp = 4
/
ATOMIC_SPECIES
Nb 92.91 Nb.upf
H 1.01 H.upf
Tc 98.00 Tc.upf
Pd 106.42 Pd.upf
ATOMIC_POSITIONS crystal
Nb 0.000 0.000 0.500
H 0.000 0.000 0.000
Nb 0.500 0.000 0.000
Tc 0.000 0.500 0.000
Pd 0.500 0.500 0.500
CELL_PARAMETERS angstrom
4.180 0.000 0.000
0.000 3.886 0.000
0.000 0.000 4.180
```

=====

How far above the most stable structure does each one sit? In kJ/mol of atoms: model one 2.0; model two 0.0.

=====

Model one:
The following is a GGA-PBE calculation of a geometry-optimized TiNb2HPd structure, from Alexandria. Values from VASP.

Values from the calculation:
For the density of states at the Fermi level, the calculation gives 3.2 states/eV/cell.

The structure in Quantum ESPRESSO input format:
```
&SYSTEM
  ibrav = 0, nat = 5, ntyp = 4
/
ATOMIC_SPECIES
Pd 106.42 Pd.upf
Ti 47.87 Ti.upf
Nb 92.91 Nb.upf
H 1.01 H.upf
ATOMIC_POSITIONS crystal
Pd 0.000 0.000 0.500
Ti 0.500 0.500 0.500
Nb 0.500 0.000 0.000
Nb 0.000 0.500 0.000
H 0.000 0.000 0.000
CELL_PARAMETERS angstrom
3.957 0.000 0.000
0.000 3.957 0.000
0.000 0.000 4.537
```

=====

Model two:
The following is a GGA-PBE calculation of a geometry-optimized TiNb2HPd structure, from Alexandria. Values from VASP.

Values from the calculation:
For the density of states at the Fermi level, the calculation gives 4.9 states/eV/cell.

The structure in Quantum ESPRESSO input format:
```
&SYSTEM
  ibrav = 0, nat = 5, ntyp = 4
/
ATOMIC_SPECIES
Nb 92.91 Nb.upf
H 1.01 H.upf
Pd 106.42 Pd.upf
Ti 47.87 Ti.upf
ATOMIC_POSITIONS crystal
Nb 0.000 0.500 0.000
H 0.000 0.000 0.000
Pd 0.500 0.500 0.500
Ti 0.000 0.000 0.500
Nb 0.500 0.000 0.000
CELL_PARAMETERS angstrom
4.019 0.000 0.000
0.000 4.019 0.000
0.000 0.000 4.372
```

=====

How far above the most stable structure does each one sit? In kJ/mol of atoms: model one 2.9; model two 0.0.

=====

Model one:
The following is a GGA-PBE calculation of a geometry-optimized Nb2HPt structure, from Alexandria. Values from VASP.

Values from the calculation:
For the density of states at the Fermi level, the calculation gives 4.3 states/eV/cell.

The structure in Quantum ESPRESSO input format:
```
&SYSTEM
  ibrav = 0, nat = 4, ntyp = 3
/
ATOMIC_SPECIES
Nb 92.91 Nb.upf
H 1.01 H.upf
Pt 195.08 Pt.upf
ATOMIC_POSITIONS crystal
Nb 0.250 0.250 0.250
Nb 0.750 0.750 0.750
H 0.000 0.000 0.000
Pt 0.500 0.500 0.500
CELL_PARAMETERS angstrom
-4.282 -0.277 1.020
-2.995 -0.554 -3.189
-2.116 -3.850 -0.393
```

=====

Model two:
The following is a GGA-PBE calculation of a geometry-optimized Nb2HPt structure, from Alexandria. Values from VASP.

Values from the calculation:
For the density of states at the Fermi level, the calculation gives 1.8 states/eV/cell.

The structure in Quantum ESPRESSO input format:
```
&SYSTEM
  ibrav = 0, nat = 4, ntyp = 3
/
ATOMIC_SPECIES
Nb 92.91 Nb.upf
Pt 195.08 Pt.upf
H 1.01 H.upf
ATOMIC_POSITIONS crystal
Nb 0.902 0.902 0.293
Pt 0.500 0.500 0.500
H 0.000 0.000 0.000
Nb 0.098 0.098 0.707
CELL_PARAMETERS angstrom
-0.320 -0.924 3.740
-0.263 -3.709 1.059
5.967 -1.852 2.051
```

=====

How far above the most stable structure does each one sit? In kJ/mol of atoms: model one 0.0; model two 19.5.